No. 1
HgHPd3, relaxed, DFT GGA-PBE; SG = No. 148; VASP energy = -3.93 eV/atom; relative energy among the computed polymorphs = 42 kJ/mol of formula units; calculated density = 11.6 g/cm3; crystal system = trigonal
1.0
2.495 1.441 6.913
-2.495 1.441 6.913
0.000 -2.882 6.913
Hg H Pd
2 2 6
Direct
0.166 0.166 0.166
0.834 0.834 0.834
0.419 0.419 0.419
0.581 0.581 0.581
0.052 0.724 0.390
0.276 0.610 0.948
0.390 0.052 0.724
0.610 0.948 0.276
0.724 0.390 0.052
0.948 0.276 0.610

No. 2
HgH4Pd8, relaxed, DFT GGA-PBE; SG = No. 2; VASP energy = -4.34 eV/atom; calculated density = 11.4 g/cm3; crystal system = triclinic
1.0
2.925 0.000 0.000
-0.022 7.054 0.000
-1.451 -0.084 7.433
Hg H Pd
1 4 8
Direct
0.000 0.000 0.000
0.286 0.821 0.436
0.374 0.503 0.700
0.626 0.497 0.300
0.714 0.179 0.564
0.106 0.664 0.223
0.224 0.331 0.439
0.334 0.002 0.666
0.444 0.666 0.893
0.556 0.334 0.107
0.666 0.998 0.334
0.776 0.669 0.561
0.894 0.336 0.777

No. 3
HgHPd3, relaxed, DFT GGA-PBE; SG = No. 11; VASP energy = -3.98 eV/atom; relative energy among the computed polymorphs = 18 kJ/mol of formula units; calculated density = 12.5 g/cm3; crystal system = monoclinic
1.0
5.079 0.000 0.000
0.000 5.742 0.000
-1.783 0.000 4.761
Hg H Pd
2 2 6
Direct
0.239 0.250 0.261
0.761 0.750 0.739
0.410 0.750 0.009
0.590 0.250 0.991
0.242 0.750 0.260
0.255 0.000 0.755
0.255 0.500 0.755
0.745 0.000 0.245
0.745 0.500 0.245
0.758 0.250 0.740

No. 4
HgHPd3, relaxed, DFT GGA-PBE; SG = No. 12; VASP energy = -3.89 eV/atom; relative energy among the computed polymorphs = 59 kJ/mol of formula units; calculated density = 12.0 g/cm3; crystal system = monoclinic
1.0
7.191 -1.463 0.000
7.191 1.463 0.000
-0.678 0.000 6.831
Hg H Pd
2 2 6
Direct
0.098 0.098 0.065
0.902 0.902 0.935
0.284 0.284 0.429
0.716 0.716 0.571
0.148 0.148 0.477
0.287 0.287 0.171
0.482 0.482 0.301
0.518 0.518 0.699
0.713 0.713 0.829
0.852 0.852 0.523